Entry from the Alexandria database: an optimized crystal structure of SrMn2Ir (PBE).

Cell lengths 4.1734, 4.1734, 5.9889 Å; angles 70.17, 70.17, 58.54 degrees
With the nearest neighbours (Å) after each atom.
Sites, in units of the cell vectors:
Ir  0.7500  0.7500  0.7500  6 Mn 2.42
Mn  0.0571  0.0571  0.8167  3 Ir 2.42, 3 Mn 2.45-2.60
Mn  0.4429  0.4429  0.6833  3 Ir 2.42, 3 Mn 2.45-2.60
Sr  0.2500  0.2500  0.2500  8 Mn 3.13-3.40

- Crystal system: monoclinic

Entry from the Alexandria database: an optimized crystal structure of Ba2CeSe4 (PBE).

Cell lengths 4.5714, 8.1093, 12.9283 Å; angles 90.00, 90.00, 90.00 degrees
With the nearest neighbours (Å) after each atom.
Sites, in units of the cell vectors:
Ba  0.5000  0.9162  0.8183  7 Se 3.25-3.62
Ba  0.5000  0.0838  0.1817  7 Se 3.25-3.62
Ba  0.5000  0.4162  0.6817  7 Se 3.25-3.62
Ba  0.5000  0.5838  0.3183  7 Se 3.25-3.62
Ce  0.0000  0.0000  0.5000  6 Se 2.81-2.96
Ce  0.0000  0.5000  0.0000  6 Se 2.81-2.96
Se  0.0000  0.6328  0.7992  1 Ce 2.81
Se  0.0000  0.3672  0.2008  1 Ce 2.81
Se  0.0000  0.1328  0.7008  1 Ce 2.81
Se  0.0000  0.8672  0.2992  1 Ce 2.81
Se  0.5000  0.7830  0.5506  2 Ce 2.96
Se  0.5000  0.2170  0.4494  2 Ce 2.96
Se  0.5000  0.7170  0.0506  2 Ce 2.96
Se  0.5000  0.2830  0.9494  2 Ce 2.96

- Raw formation energy: -1884.3 meV/atom
- Crystal system: orthorhombic

Entry from the Alexandria database: an optimized crystal structure of PmLuIn (PBE).

Cell lengths 5.2043, 5.2043, 5.2043 Å; angles 60.00, 60.00, 60.00 degrees
With the nearest neighbours (Å) after each atom.
Sites, in units of the cell vectors:
Lu  0.0000  0.0000  0.0000  4 In 3.19
In  0.2500  0.2500  0.2500  4 Pm 3.19, 4 Lu 3.19
Pm  0.5000  0.5000  0.5000  4 In 3.19

- Distance to the lowest polymorph of the same formula: 212 meV/atom
- Crystal system: cubic

| no. | electronic total energy (eV for the cell shown) |
| --- | --- |
| 1 | -27.75 |
| 2 | -73.81 |
| 3 | -12.25 |